A geometry-optimized Ac4IO10 structure, computed with PBE.

Results
**Total moment**: 3.1 Bohr magnetons per cell
**DOS at the Fermi energy**: 13.00 states/eV/f.u.
**Formation energy from raw total energies**: -2.14 eV per atom
**Total DFT energy (no corrections)**: -6.649 eV/atom

Cell lengths 9.0778, 9.0778, 5.8770 Å; angles 90.00, 90.00, 90.00 degrees
Space group I4/m (No. 87)
Unique sites:
Ac1 0.0990 0.3020 0.0000
I1 0.0000 0.0000 0.5000
O1 0.0000 0.5000 0.2500
O2 0.0939 0.8277 0.2853



A geometry-optimized CdPPt2 structure, computed with PBE.

Results
**Total moment**: 0.0 Bohr magnetons per cell
**DFT formation energy**: -1 kJ per mole of atoms
**DOS at the Fermi energy**: 1.76 states/eV/f.u.
**Energy above the lowest structure with this stoichiometry**: 251 meV per atom
**Total DFT energy (no corrections)**: -4.609 eV/atom

Cell lengths 5.8512, 7.4723, 2.9977 Å; angles 90.00, 90.00, 90.00 degrees
Space group Cmmm (No. 65)
Unique sites:
Cd1 0.0000 0.0000 0.0000
P1 0.0000 0.5000 0.0000
Pt1 0.2500 0.2500 0.5000



A geometry-optimized Ho7Er12In structure, computed with PBE.

Results
**Total moment**: 0.0 Bohr magnetons per cell
**DFT formation energy**: 17 kJ per mole of atoms
**DOS at the Fermi energy**: 32.98 states/eV/f.u.
**Total DFT energy (no corrections)**: -4.304 eV/atom

Cell lengths 11.8537, 11.8537, 15.4278 Å; angles 90.00, 90.00, 120.00 degrees
Space group R-3 (No. 148, hexagonal axes)
Unique sites:
Ho1 0.0000 0.0000 0.0000
Ho2 0.0551 0.1881 0.2982
Er1 0.0339 0.4563 0.2133
Er2 0.0552 0.5850 0.5856
In1 0.0000 0.0000 0.5000



A geometry-optimized NaMgHgS2 structure, computed with PBE.

Results
**Total moment**: 0.0 Bohr magnetons per cell
**DOS at the Fermi energy**: 3.12 states/eV/f.u.
**Formation energy from raw total energies**: -0.74 eV per atom
**Total DFT energy (no corrections)**: -3.033 eV/atom

Cell lengths 6.7769, 7.1070, 6.3700 Å; angles 90.00, 94.51, 90.00 degrees
Space group P2/c (No. 13)
Unique sites:
Na1 0.0000 0.0690 0.2500
Mg1 0.5000 0.0016 0.7500
Hg1 0.5000 0.5000 0.0000
S1 0.2850 0.1710 0.9833